Entry 1:
Here is an optimized crystal structure of Si2AgAu from Alexandria via LeMat-Bulk. Energies are from GGA-PBE.

abc: 6.3611 5.9816 2.7370
angles: 62.79 115.45 129.05
Element x y z (fractional)
1 Si 0.5000 0.0000 0.5000
2 Si 0.0000 0.0000 0.0000
3 Ag 0.0000 0.5000 0.5000
4 Au 0.5000 0.5000 0.0000

Results
Polymorph energy (0 for the lowest one)   147.7 meV/atom
Energy   -3.9455 eV/atom
Spin magnetization   0.00 μB/f.u.

---

Entry 2:
Here is an optimized crystal structure of SiAg2Au from Alexandria via LeMat-Bulk. Energies are from GGA-PBE.

abc: 4.0099 4.0099 4.2777
angles: 90.00 90.00 90.00
Element x y z (fractional)
1 Au 0.5000 0.0000 0.5000
2 Ag 0.5000 0.5000 0.0000
3 Ag 0.0000 0.0000 0.0000
4 Si 0.0000 0.5000 0.5000

Results
Energy   -3.4426 eV/atom
Spin magnetization   0.00 μB/f.u.

---

Entry 3:
Here is an optimized crystal structure of Si3AgAu from Alexandria via LeMat-Bulk. Energies are from GGA-PBE.

abc: 4.8707 4.8707 4.8707
angles: 90.00 90.00 90.00
Element x y z (fractional)
1 Au 0.0000 0.0000 0.0000
2 Si 0.0000 0.5000 0.0000
3 Si 0.0000 0.0000 0.5000
4 Si 0.5000 0.0000 0.0000
5 Ag 0.5000 0.5000 0.5000

Results
Polymorph energy (0 for the lowest one)   0.0 meV/atom
Energy   -3.4587 eV/atom
Spin magnetization   0.00 μB/f.u.

---

Entry 4:
Here is an optimized crystal structure of SiAg2Au from Alexandria via LeMat-Bulk. Energies are from GGA-PBE.

abc: 5.1186 5.1186 5.1186
angles: 133.75 133.75 67.48
Element x y z (fractional)
1 Au 0.2500 0.7500 0.5000
2 Ag 0.0000 0.0000 0.0000
3 Ag 0.5000 0.5000 0.0000
4 Si 0.7500 0.2500 0.5000

Results
Energy   -3.4483 eV/atom
Spin magnetization   0.00 μB/f.u.

---

Entry 5:
Here is an optimized crystal structure of SiAgAu2 from Alexandria via LeMat-Bulk. Energies are from GGA-PBE.

abc: 8.8790 8.8790 8.8790
angles: 19.72 19.72 19.72
Element x y z (fractional)
1 Au 0.9925 0.9925 0.9925
2 Au 0.5075 0.5075 0.5075
3 Si 0.2500 0.2500 0.2500
4 Ag 0.7500 0.7500 0.7500

Results
Energy   -3.6345 eV/atom
Spin magnetization   0.00 μB/f.u.

---

Entry 6:
Here is an optimized crystal structure of Si2AgAu from Alexandria via LeMat-Bulk. Energies are from GGA-PBE.

abc: 5.7366 5.7366 5.7366
angles: 152.47 127.06 60.70
Element x y z (fractional)
1 Ag 0.7500 0.2500 0.5000
2 Au 0.2500 0.7500 0.5000
3 Si 0.0117 0.0117 0.0000
4 Si 0.4883 0.4883 0.0000

Results
Polymorph energy (0 for the lowest one)   190.0 meV/atom
Energy   -3.9032 eV/atom
Spin magnetization   0.00 μB/f.u.

---

Entry 7:
Here is an optimized crystal structure of Si2AgAu from Alexandria via LeMat-Bulk. Energies are from GGA-PBE.

abc: 5.0303 5.0303 5.0303
angles: 139.19 123.18 72.29
Element x y z (fractional)
1 Si 0.7686 0.2686 0.5000
2 Si 0.9905 0.9905 0.0000
3 Au 0.2295 0.7295 0.5000
4 Ag 0.5115 0.5115 0.0000

Results
Polymorph energy (0 for the lowest one)   168.3 meV/atom
Energy   -3.9249 eV/atom
Spin magnetization   0.00 μB/f.u.

---

Entry 8:
Here is an optimized crystal structure of SiAg2Au from Alexandria via LeMat-Bulk. Energies are from GGA-PBE.

abc: 6.3579 5.0760 2.9342
angles: 90.56 61.50 119.23
Element x y z (fractional)
1 Ag 0.0000 0.0000 0.0000
2 Ag 0.5000 0.0000 0.5000
3 Au 0.0000 0.5000 0.5000
4 Si 0.5000 0.5000 0.0000

Results
Energy   -3.4403 eV/atom
Spin magnetization   0.00 μB/f.u.

---

Entry 9:
Here is an optimized crystal structure of SiAgAu2 from Alexandria via LeMat-Bulk. Energies are from GGA-PBE.

abc: 5.4552 5.4552 5.2245
angles: 63.53 63.53 30.54
Element x y z (fractional)
1 Ag 0.2193 0.2193 0.2188
2 Au 0.7836 0.7836 0.6584
3 Au 0.9990 0.9990 0.0203
4 Si 0.4981 0.4981 0.6025

Results
Energy   -3.6221 eV/atom
Spin magnetization   0.00 μB/f.u.

---

Entry 10:
Here is an optimized crystal structure of Si2AgAu from Alexandria via LeMat-Bulk. Energies are from GGA-PBE.

abc: 2.9917 4.1159 5.4688
angles: 90.00 90.00 90.00
Element x y z (fractional)
1 Ag 0.0000 0.0000 0.4784
2 Si 0.0000 0.0000 0.9883
3 Si 0.5000 0.5000 0.2607
4 Au 0.5000 0.5000 0.7725

Results
Polymorph energy (0 for the lowest one)   165.9 meV/atom
Energy   -3.9273 eV/atom
Spin magnetization   0.00 μB/f.u.

---

Entry 11:
Here is an optimized crystal structure of SiAgAu2 from Alexandria via LeMat-Bulk. Energies are from GGA-PBE.

abc: 3.2097 3.2097 8.2581
angles: 78.79 78.79 60.00
Element x y z (fractional)
1 Ag 0.5001 0.5001 0.4998
2 Si 0.6667 0.6667 0.9999
3 Au 0.0736 0.0736 0.7793
4 Au 0.2597 0.2597 0.2209

Results
Energy   -3.6306 eV/atom
Spin magnetization   0.00 μB/f.u.

---

Entry 12:
Here is an optimized crystal structure of SiAg2Au from Alexandria via LeMat-Bulk. Energies are from GGA-PBE.

abc: 5.2996 5.2996 5.2996
angles: 142.10 129.24 65.06
Element x y z (fractional)
1 Au 0.4702 0.4702 0.0000
2 Ag 0.0248 0.0248 0.0000
3 Ag 0.7425 0.2425 0.5000
4 Si 0.2626 0.7626 0.5000

Results
Energy   -3.4625 eV/atom
Spin magnetization   0.00 μB/f.u.

---

Entry 13:
Here is an optimized crystal structure of SiAgAu2 from Alexandria via LeMat-Bulk. Energies are from GGA-PBE.

abc: 8.9756 8.9756 8.9756
angles: 19.38 19.38 19.38
Element x y z (fractional)
1 Ag 0.7554 0.7554 0.7554
2 Au 0.2427 0.2427 0.2427
3 Au 0.9999 0.9999 0.9999
4 Si 0.5019 0.5019 0.5019

Results
Energy   -3.5921 eV/atom
Spin magnetization   0.00 μB/f.u.

---

Entry 14:
Here is an optimized crystal structure of SiAg3Au from Alexandria via LeMat-Bulk. Energies are from GGA-PBE.

abc: 5.1078 5.1078 5.1078
angles: 90.00 90.00 90.00
Element x y z (fractional)
1 Ag 0.0000 0.5000 0.0000
2 Ag 0.5000 0.0000 0.0000
3 Ag 0.0000 0.0000 0.5000
4 Si 0.5000 0.5000 0.5000
5 Au 0.0000 0.0000 0.0000

Results
Polymorph energy (0 for the lowest one)   460.4 meV/atom
Energy   -2.4782 eV/atom
Spin magnetization   0.00 μB/f.u.

---

Entry 15:
Here is an optimized crystal structure of Si2AgAu from Alexandria via LeMat-Bulk. Energies are from GGA-PBE.

abc: 4.5804 2.7806 5.3439
angles: 90.11 90.00 90.00
Element x y z (fractional)
1 Si 0.0000 0.0030 0.0113
2 Si 0.5000 0.0028 0.2485
3 Ag 0.0000 0.4950 0.4980
4 Au 0.5000 0.9992 0.7422

Results
Polymorph energy (0 for the lowest one)   106.2 meV/atom
Energy   -3.9870 eV/atom
Spin magnetization   0.00 μB/f.u.

---

Entry 16:
Here is an optimized crystal structure of SiAg4Au from Alexandria via LeMat-Bulk. Energies are from GGA-PBE.

abc: 5.4397 5.4397 5.4397
angles: 60.00 60.00 60.00
Element x y z (fractional)
1 Ag 0.1249 0.6250 0.6250
2 Ag 0.6250 0.6250 0.6250
3 Ag 0.6250 0.6250 0.1249
4 Ag 0.6250 0.1249 0.6250
5 Si 0.0000 0.0000 0.0000
6 Au 0.2500 0.2500 0.2500

Results
Energy   -2.9771 eV/atom
Spin magnetization   0.00 μB/f.u.

---

Entry 17:
Here is an optimized crystal structure of SrSi2AgAu5 from Alexandria via LeMat-Bulk. Energies are from GGA-PBE.

abc: 4.7947 4.7947 8.7941
angles: 90.00 90.00 90.00
Element x y z (fractional)
1 Si 0.5000 0.5000 0.7724
2 Si 0.5000 0.5000 0.2276
3 Au 0.0000 0.5000 0.1763
4 Au 0.5000 0.5000 0.5000
5 Au 0.5000 0.0000 0.8237
6 Au 0.0000 0.5000 0.8237
7 Au 0.5000 0.0000 0.1763
8 Sr 0.0000 0.0000 0.5000
9 Ag 0.0000 0.0000 0.0000

Results
Energy   -3.7461 eV/atom
Spin magnetization   0.00 μB/f.u.

---

Entry 18:
Here is an optimized crystal structure of SrSiAg2Au4 from Alexandria via LeMat-Bulk. Energies are from GGA-PBE.

abc: 4.6894 4.6894 9.1833
angles: 75.21 75.21 60.00
Element x y z (fractional)
1 Ag 0.2461 0.2461 0.2616
2 Ag 0.7539 0.7539 0.7384
3 Au 0.1353 0.1353 0.5941
4 Au 0.5971 0.5971 0.2087
5 Au 0.8647 0.8647 0.4059
6 Au 0.4029 0.4029 0.7913
7 Si 0.5000 0.5000 0.5000
8 Sr 0.0000 0.0000 0.0000

Results
Energy   -3.4008 eV/atom
Spin magnetization   0.00 μB/f.u.

---

Entry 19:
Here is an optimized crystal structure of Sr2Si3AgAu4 from Alexandria via LeMat-Bulk. Energies are from GGA-PBE.

abc: 4.5285 4.5285 10.3515
angles: 90.00 90.00 90.00
Element x y z (fractional)
1 Ag 0.5000 0.5000 0.5000
2 Au 0.5000 0.5000 0.0000
3 Au 0.0000 0.0000 0.0000
4 Au 0.5000 0.0000 0.6423
5 Au 0.0000 0.5000 0.3577
6 Sr 0.5000 0.0000 0.2495
7 Sr 0.0000 0.5000 0.7505
8 Si 0.5000 0.0000 0.8778
9 Si 0.0000 0.5000 0.1222
10 Si 0.0000 0.0000 0.5000

Results
Energy   -4.0033 eV/atom
Spin magnetization   0.00 μB/f.u.

---

Entry 20:
Here is an optimized crystal structure of SrSiAg2Au from Alexandria via LeMat-Bulk. Energies are from GGA-PBE.

abc: 4.8779 4.8779 5.0170
angles: 90.00 90.00 90.00
Element x y z (fractional)
1 Au 0.0000 0.0000 0.5000
2 Si 0.0000 0.0000 0.0000
3 Sr 0.5000 0.5000 0.5000
4 Ag 0.5000 0.0000 0.0000
5 Ag 0.0000 0.5000 0.0000

Results
Energy   -3.4352 eV/atom
Spin magnetization   0.00 μB/f.u.